Entry 1:
# YTmO3

A relaxed YTmO3 crystal (GGA-PBE, the Alexandria database).

Energy, eV per atom: -8.77
Formation energy (no corrections), eV/atom: -3.611
SG: No. 5

Cell: 9.168 9.168 10.585 Å, 125.25 125.25 70.54°
Element x y z (fractional)
Y  0.000  0.000  0.000
Y  0.218  0.781  0.749
Y  0.219  0.782  0.251
Y  0.250  0.314  0.032
Y  0.501  0.499  0.000
Y  0.686  0.750  0.968
Y  0.716  0.280  0.746
Y  0.720  0.284  0.254
Tm  0.186  0.250  0.468
Tm  0.435  0.565  0.500
Tm  0.467  0.031  0.715
Tm  0.469  0.033  0.219
Tm  0.750  0.814  0.532
Tm  0.936  0.064  0.500
Tm  0.967  0.531  0.781
Tm  0.969  0.533  0.285
O  0.176  0.543  0.243
O  0.187  0.012  0.492
O  0.209  0.052  0.980
O  0.231  0.508  0.520
O  0.246  0.553  0.007
O  0.264  0.026  0.266
O  0.444  0.291  0.715
O  0.447  0.754  0.993
O  0.457  0.824  0.757
O  0.480  0.235  0.977
O  0.489  0.313  0.296
O  0.492  0.769  0.480
O  0.676  0.037  0.475
O  0.687  0.511  0.704
O  0.709  0.556  0.285
O  0.731  0.012  0.223
O  0.746  0.051  0.789
O  0.765  0.520  0.023
O  0.948  0.791  0.020
O  0.949  0.254  0.211
O  0.963  0.324  0.525
O  0.974  0.736  0.734
O  0.988  0.269  0.777
O  0.988  0.813  0.508

---

Entry 2:
# YTmO

A relaxed YTmO crystal (GGA-PBE, the Alexandria database).

Energy, eV per atom: -7.19
Formation energy (no corrections), eV/atom: -1.889
SG: No. 57

Cell: 7.636 6.751 5.146 Å, 90.00 90.00 90.00°
Element x y z (fractional)
Y  0.125  0.088  0.250
Y  0.125  0.412  0.750
Y  0.875  0.588  0.250
Y  0.875  0.912  0.750
Tm  0.375  0.585  0.250
Tm  0.375  0.915  0.750
Tm  0.625  0.085  0.250
Tm  0.625  0.415  0.750
O  0.130  0.082  0.750
O  0.130  0.418  0.250
O  0.870  0.582  0.750
O  0.870  0.918  0.250

---

Entry 3:
# YTmO3

A relaxed YTmO3 crystal (GGA-PBE, the Alexandria database).

Energy, eV per atom: -8.69
Formation energy (no corrections), eV/atom: -3.526
SG: No. 62

Cell: 5.903 8.363 5.640 Å, 90.00 90.00 90.00°
Element x y z (fractional)
Y  0.054  0.250  0.020
Y  0.446  0.750  0.520
Y  0.554  0.250  0.480
Y  0.946  0.750  0.980
Tm  0.000  0.000  0.500
Tm  0.000  0.500  0.500
Tm  0.500  0.000  0.000
Tm  0.500  0.500  0.000
O  0.077  0.750  0.353
O  0.190  0.579  0.813
O  0.190  0.921  0.813
O  0.310  0.079  0.313
O  0.310  0.421  0.313
O  0.423  0.250  0.853
O  0.577  0.750  0.147
O  0.690  0.579  0.687
O  0.690  0.921  0.687
O  0.810  0.079  0.187
O  0.810  0.421  0.187
O  0.923  0.250  0.647

---

Entry 4:
# Y2TmO4

A relaxed Y2TmO4 crystal (GGA-PBE, the Alexandria database).

Energy, eV per atom: -8.55
Formation energy (no corrections), eV/atom: -3.229
SG: No. 227

Cell: 6.772 6.772 6.772 Å, 60.00 60.00 60.00°
Element x y z (fractional)
Y  0.000  0.000  0.000
Y  0.000  0.000  0.500
Y  0.000  0.500  0.000
Y  0.500  0.000  0.000
Tm  0.375  0.375  0.375
Tm  0.625  0.625  0.625
O  0.236  0.755  0.755
O  0.245  0.245  0.245
O  0.245  0.245  0.764
O  0.245  0.764  0.245
O  0.755  0.236  0.755
O  0.755  0.755  0.236
O  0.755  0.755  0.755
O  0.764  0.245  0.245

---

Entry 5:
# YTmO

A relaxed YTmO crystal (GGA-PBE, the Alexandria database).

Energy, eV per atom: -7.12
Formation energy (no corrections), eV/atom: -1.817
SG: No. 156

Cell: 3.502 3.502 5.665 Å, 90.00 90.00 120.00°
Element x y z (fractional)
Y  0.000  0.000  0.000
Tm  0.667  0.333  0.527
O  0.333  0.667  0.751

---

Entry 6:
# Y5Tm11O24

A relaxed Y5Tm11O24 crystal (GGA-PBE, the Alexandria database).

Energy, eV per atom: -8.65
Formation energy (no corrections), eV/atom: -3.634
SG: No. 5

Cell: 9.128 9.128 10.544 Å, 125.23 125.23 70.57°
Element x y z (fractional)
Y  0.000  0.000  0.000
Y  0.282  0.717  0.749
Y  0.283  0.718  0.251
Y  0.781  0.219  0.251
Y  0.781  0.219  0.749
Tm  0.032  0.467  0.717
Tm  0.032  0.469  0.218
Tm  0.064  0.936  0.500
Tm  0.250  0.186  0.469
Tm  0.314  0.251  0.032
Tm  0.499  0.501  0.000
Tm  0.531  0.968  0.782
Tm  0.533  0.968  0.283
Tm  0.564  0.436  0.500
Tm  0.749  0.686  0.968
Tm  0.814  0.750  0.531
O  0.008  0.731  0.219
O  0.012  0.187  0.493
O  0.025  0.264  0.266
O  0.039  0.676  0.476
O  0.051  0.745  0.789
O  0.054  0.210  0.980
O  0.239  0.476  0.977
O  0.255  0.949  0.211
O  0.269  0.992  0.781
O  0.295  0.444  0.719
O  0.313  0.488  0.293
O  0.324  0.961  0.524
O  0.508  0.231  0.520
O  0.512  0.687  0.707
O  0.524  0.761  0.023
O  0.539  0.175  0.238
O  0.551  0.249  0.007
O  0.556  0.705  0.281
O  0.736  0.975  0.734
O  0.751  0.449  0.993
O  0.769  0.492  0.480
O  0.790  0.946  0.020
O  0.813  0.988  0.507
O  0.825  0.461  0.762

---

Entry 7:
# Y15TmO24

A relaxed Y15TmO24 crystal (GGA-PBE, the Alexandria database).

Energy, eV per atom: -9.07
Formation energy (no corrections), eV/atom: -3.559
SG: No. 5

Cell: 9.252 9.252 10.687 Å, 125.23 125.23 70.55°
Element x y z (fractional)
Y  0.000  0.000  0.000
Y  0.185  0.250  0.968
Y  0.218  0.782  0.250
Y  0.218  0.782  0.750
Y  0.250  0.316  0.533
Y  0.467  0.034  0.283
Y  0.468  0.032  0.782
Y  0.500  0.500  0.000
Y  0.684  0.750  0.467
Y  0.716  0.283  0.250
Y  0.717  0.284  0.750
Y  0.750  0.815  0.032
Y  0.935  0.065  0.500
Y  0.966  0.533  0.717
Y  0.968  0.532  0.218
Tm  0.434  0.566  0.500
O  0.178  0.544  0.480
O  0.186  0.011  0.707
O  0.207  0.054  0.282
O  0.232  0.511  0.222
O  0.249  0.554  0.792
O  0.260  0.021  0.021
O  0.446  0.751  0.208
O  0.447  0.294  0.021
O  0.456  0.822  0.520
O  0.478  0.239  0.738
O  0.489  0.318  0.511
O  0.489  0.768  0.778
O  0.675  0.042  0.238
O  0.682  0.511  0.489
O  0.706  0.553  0.979
O  0.728  0.012  0.522
O  0.749  0.054  0.011
O  0.761  0.522  0.262
O  0.946  0.251  0.989
O  0.946  0.793  0.718
O  0.958  0.325  0.762
O  0.979  0.740  0.979
O  0.988  0.272  0.478
O  0.989  0.814  0.293

---

Entry 8:
# YTmO3

A relaxed YTmO3 crystal (GGA-PBE, the Alexandria database).

Energy, eV per atom: -8.57
Formation energy (no corrections), eV/atom: -3.407
SG: No. 155

Cell: 6.319 6.319 6.319 Å, 52.38 52.38 52.38°
Element x y z (fractional)
Y  0.145  0.145  0.145
Y  0.855  0.855  0.855
Tm  0.352  0.352  0.352
Tm  0.648  0.648  0.648
O  0.047  0.459  0.742
O  0.258  0.541  0.953
O  0.459  0.742  0.047
O  0.541  0.953  0.258
O  0.742  0.047  0.459
O  0.953  0.258  0.541

---

Entry 9:
# YTmO3

A relaxed YTmO3 crystal (GGA-PBE, the Alexandria database).

Energy, eV per atom: -8.56
Formation energy (no corrections), eV/atom: -3.403
SG: No. 187

Cell: 5.916 5.916 3.029 Å, 90.00 90.00 120.00°
Element x y z (fractional)
Y  0.000  0.000  0.000
Tm  0.333  0.667  0.000
O  0.169  0.338  0.500
O  0.169  0.831  0.500
O  0.662  0.831  0.500

---

Entry 10:
# YbTmO3

A relaxed YbTmO3 crystal (GGA-PBE, the Alexandria database).

Energy, eV per atom: -6.81
Formation energy (no corrections), eV/atom: -2.633
SG: No. 221

Cell: 4.245 4.245 4.245 Å, 90.00 90.00 90.00°
Element x y z (fractional)
Yb  0.000  0.000  0.000
Tm  0.500  0.500  0.500
O  0.000  0.500  0.500
O  0.500  0.000  0.500
O  0.500  0.500  0.000

---

Entry 11:
# Tm2ZnO

A relaxed Tm2ZnO crystal (GGA-PBE, the Alexandria database).

Energy, eV per atom: -4.89
Formation energy (no corrections), eV/atom: -1.094
SG: No. 166

Cell: 8.759 8.759 8.759 Å, 22.23 22.23 22.23°
Element x y z (fractional)
Tm  0.114  0.114  0.114
Tm  0.886  0.886  0.886
Zn  0.000  0.000  0.000
O  0.500  0.500  0.500

---

Entry 12:
# Tm3ZnO

A relaxed Tm3ZnO crystal (GGA-PBE, the Alexandria database).

Energy, eV per atom: -5.21
Formation energy (no corrections), eV/atom: -1.278
SG: No. 221

Cell: 4.639 4.639 4.639 Å, 90.00 90.00 90.00°
Element x y z (fractional)
Tm  0.000  0.000  0.500
Tm  0.000  0.500  0.000
Tm  0.500  0.000  0.000
Zn  0.500  0.500  0.500
O  0.000  0.000  0.000

---

Computed total magnetic moment, in the same sequence as the records: 0.000 0.000 0.000 0.473 0.002 0.000 0.000 0.000 0.000 1.088 0.000 0.000 μB/f.u..